{
  "formula": "DyThAg4",
  "functional": "PBE-GGA",
  "state": "optimized geometry",
  "cell": [[5.3636, -0.0692, 0.0465], [0.0525, 4.6640, 2.6614], [-0.0400, -0.0241, 5.4612]],
  "species": ["Ag", "Ag", "Ag", "Ag", "Dy", "Th"],
  "frac_coords": [[0.5013, 0.6725, 0.1543], [0.0013, 0.1784, 0.1423], [0.0013, 0.8252, 0.8485], [0.5013, 0.3314, 0.8365], [0.0013, 0.5018, 0.4954], [0.5013, 0.0019, 0.4954]],
  "space_group": "C2/m (12)",
  "e_above_lowest_polymorph_mev_per_atom": 0.0
}

***

{
  "formula": "KFeCu2",
  "functional": "PBE-GGA",
  "state": "optimized geometry",
  "cell": [[-3.5250, -2.6031, 0.8684], [-1.3728, -3.7401, 2.0207], [-1.5236, 3.1206, 5.9252]],
  "species": ["Fe", "K", "Cu", "Cu"],
  "frac_coords": [[0.5194, 0.5194, 0.3871], [0.7458, 0.7458, 0.7572], [0.9812, 0.9812, 0.0967], [0.2536, 0.2536, 0.2590]],
  "space_group": "Cm (8)",
  "e_above_lowest_polymorph_mev_per_atom": 75.2
}

***

| no. | DFT formation energy (eV per atom) |
| --- | --- |
| 1 | -0.161 |
| 2 | 0.591 |